Entry 1:
Entry from the Alexandria database: Mg2ZrP2 after structural relaxation (PBEsol).

Calculated values
As for the symmetry: I4/mmm (139). For the calculated formation energy, the calculation gives -65 meV/atom. The density comes out at 3578 kg/m³.

abc: 5.3465 5.3465 5.3465
angles: 127.35 127.35 77.69
Last column: nearest neighbours and their distance in Å.
Sites, in units of the cell vectors:
Mg1 0.1567 0.1567 0.0000  4 P 2.50, 1 Mg 2.61
Mg2 0.8433 0.8433 0.0000  4 P 2.50, 1 Mg 2.61
Zr1 0.5000 0.5000 0.0000  2 Mg 2.86, 8 P 3.16
P1 0.2500 0.7500 0.5000  4 Mg 2.50
P2 0.7500 0.2500 0.5000  4 Mg 2.50

Entry 2:
Entry from the Alexandria database: ScCr2Ni after structural relaxation (PBEsol).

Calculated values
As for the symmetry: Pmmm (47). For the calculated formation energy, the calculation gives 136 meV/atom. The density comes out at 6392 kg/m³.

abc: 3.1108 3.9758 4.3615
angles: 90.00 90.00 90.00
Last column: nearest neighbours and their distance in Å.
Sites, in units of the cell vectors:
Sc1 0.0000 0.0000 0.0000  4 Ni 2.52, 4 Cr 2.68
Cr1 0.0000 0.5000 0.5000  4 Cr 2.52, 4 Ni 2.68
Cr2 0.5000 0.0000 0.5000  4 Cr 2.52, 4 Sc 2.68
Ni1 0.5000 0.5000 0.0000  4 Sc 2.52, 4 Cr 2.68

Entry 3:
Entry from the Alexandria database: NbAgRh2N after structural relaxation (PBEsol).

Calculated values
The calculation puts the formation energy (no corrections) at 2.323 eV/atom. As for the symmetry: P4/mmm (123). The density comes out at 6346 kg/m³.

abc: 4.6134 4.6134 5.1713
angles: 90.00 90.00 90.00
Last column: nearest neighbours and their distance in Å.
Sites, in units of the cell vectors:
Nb1 0.0000 0.0000 0.0000  4 Rh 2.31
Ag1 0.0000 0.0000 0.5000  2 Nb 2.59
Rh1 0.0000 0.5000 0.0000  2 Nb 2.31
Rh2 0.5000 0.0000 0.0000  2 Nb 2.31
N1 0.5000 0.5000 0.5000  4 Ag 3.26, 8 Rh 3.47

Entry 4:
Entry from the Alexandria database: YReB2P after structural relaxation (PBEsol).

Calculated values
As for the symmetry: P4/mmm (123). For the calculated formation energy, the calculation gives 934 meV/atom. The density comes out at 7453 kg/m³.

abc: 4.0615 4.0615 4.4258
angles: 90.00 90.00 90.00
Last column: nearest neighbours and their distance in Å.
Sites, in units of the cell vectors:
Y1 0.0000 0.0000 0.0000  4 Re 2.87, 8 B 3.00
Re1 0.5000 0.5000 0.0000  2 P 2.21
B1 0.0000 0.5000 0.5000  2 P 2.03
B2 0.5000 0.0000 0.5000  2 P 2.03
P1 0.5000 0.5000 0.5000  4 B 2.03, 2 Re 2.21

Entry 5:
Entry from the Alexandria database: InB2AuBr after structural relaxation (PBEsol).

Calculated values
The calculation puts the formation energy (no corrections) at 1.737 eV/atom. As for the symmetry: P4/mmm (123). The density comes out at 6368 kg/m³.

abc: 4.4264 4.4264 5.5010
angles: 90.00 90.00 90.00
Last column: nearest neighbours and their distance in Å.
Sites, in units of the cell vectors:
In1 0.0000 0.0000 0.0000  4 B 2.21
B1 0.0000 0.5000 0.0000  2 In 2.21
B2 0.5000 0.0000 0.0000  2 In 2.21
Au1 0.5000 0.5000 0.5000  4 Br 3.13
Br1 0.0000 0.0000 0.5000  2 In 2.75

Entry 6:
Entry from the Alexandria database: HoSn2 after structural relaxation (PBEsol).

Calculated values
As for the symmetry: Cmcm (63). For the calculated formation energy, the calculation gives -647 meV/atom. The density comes out at 8998 kg/m³.

abc: 8.2735 8.2735 4.2743
angles: 90.00 90.00 149.50
Last column: nearest neighbours and their distance in Å.
Sites, in units of the cell vectors:
Ho1 0.0980 0.9020 0.7500  10 Sn 3.10-3.39
Ho2 0.9020 0.0980 0.2500  10 Sn 3.10-3.39
Sn1 0.2510 0.7490 0.2500  4 Sn 3.05, 4 Ho 3.25
Sn2 0.4353 0.5647 0.7500  2 Sn 2.97, 4 Ho 3.10
Sn3 0.5647 0.4353 0.2500  2 Sn 2.97, 4 Ho 3.10
Sn4 0.7490 0.2510 0.7500  4 Sn 3.05, 4 Ho 3.25

Entry 7:
Entry from the Alexandria database: BaZr2Al after structural relaxation (PBEsol).

Calculated values
As for the symmetry: P4/mmm (123). For the calculated formation energy, the calculation gives 356 meV/atom. The density comes out at 6016 kg/m³.

abc: 4.6719 4.6719 4.3849
angles: 90.00 90.00 90.00
Last column: nearest neighbours and their distance in Å.
Sites, in units of the cell vectors:
Ba1 0.0000 0.0000 0.0000  8 Zr 3.20, 4 Al 3.30
Zr1 0.0000 0.5000 0.5000  4 Ba 3.20, 4 Al 3.20, 4 Zr 3.30
Zr2 0.5000 0.0000 0.5000  4 Ba 3.20, 4 Al 3.20, 4 Zr 3.30
Al1 0.5000 0.5000 0.0000  8 Zr 3.20, 4 Ba 3.30

Entry 8:
Entry from the Alexandria database: CaSbAu after structural relaxation (PBEsol).

Calculated values
The calculation puts the formation energy (no corrections) at -0.769 eV/atom. As for the symmetry: P3m1 (156). The density comes out at 7861 kg/m³.

abc: 4.5538 4.5538 4.2204
angles: 90.00 90.00 120.00
Last column: nearest neighbours and their distance in Å.
Sites, in units of the cell vectors:
Ca1 0.0000 0.0000 0.0000  6 Au 3.24-3.51, 6 Sb 3.32-3.42
Sb1 0.3333 0.6667 0.5186  3 Au 2.65
Au1 0.6667 0.3333 0.4483  3 Sb 2.65

Q: Among the records above, which one has the highest density?
A: HoSn2

Q: density of number 6 (HoSn2)?
A: 8998 kg/m³

Q: What is the formula in the fourth record?
A: YReB2P